Below is a relaxed LaDy2HoEr2 crystal, with properties calculated at the PBE-GGA level.

Cell and atoms, written as POSCAR:
```
LaDy2HoEr2
1.0
6.930 0.000 0.000
0.000 9.818 0.000
0.000 0.000 5.620
La Dy Ho Er
2 4 2 4
direct
0.000 0.000 0.000
0.500 0.500 0.500
0.247 0.334 0.000
0.253 0.834 0.500
0.747 0.166 0.500
0.753 0.666 0.000
0.000 0.500 0.500
0.500 0.000 0.000
0.249 0.667 0.000
0.251 0.167 0.500
0.749 0.833 0.500
0.751 0.333 0.000
```

Output
For the mass density, the calculation gives 8.367 Mg/m³. The formation energy from the elements comes out at 0.07 eV per atom. Its space group is No. 58. The calculation puts the magnetic moment at 0.0 μB/f.u.